DFT (PBE) results for crystalline BaBeCl at its relaxed geometry.

Properties
uncorrected formation energy: -0.786 eV per atom
VASP energy: -3.285 eV/atom

a = 4.283 Å, b = 5.610 Å, c = 8.827 Å
α = 91.56°, β = 102.54°, γ = 111.71°
Space group P1 (No. 1)
Unique sites:
Ba (0.000, 0.000, 0.000) (multiplicity 1)
Ba (0.214, 0.931, 0.551) (multiplicity 1)
Be (0.332, 0.441, 0.794) (multiplicity 1)
Be (0.832, 0.423, 0.793) (multiplicity 1)
Cl (0.516, 0.514, 0.563) (multiplicity 1)
Cl (0.628, 0.008, 0.276) (multiplicity 1)


DFT (PBE) results for crystalline Nd5BiSe4 at its relaxed geometry.

Properties
uncorrected formation energy: -1.645 eV per atom
VASP energy: -5.811 eV/atom

a = 14.331 Å, b = 4.297 Å, c = 10.553 Å
α = 90.00°, β = 119.50°, γ = 90.00°
Space group C2/m (No. 12)
Unique sites:
Nd (0.000, 0.000, 0.000) (multiplicity 2)
Nd (0.107, 0.500, 0.391) (multiplicity 4)
Nd (0.205, 0.000, 0.814) (multiplicity 4)
Bi (0.000, 0.000, 0.500) (multiplicity 2)
Se (0.095, 0.500, 0.896) (multiplicity 4)
Se (0.204, 0.000, 0.295) (multiplicity 4)


DFT (PBE) results for crystalline LaHo2Er9 at its relaxed geometry.

Properties
ΔH_f (0 K): 36 meV/atom
VASP energy: -4.560 eV/atom

a = 11.1663 Å, b = 11.1663 Å, c = 3.5052 Å
α = 90.00°, β = 90.00°, γ = 120.00°
Space group P6/mmm (No. 191)
Unique sites:
La (0.0000, 0.0000, 0.0000) (multiplicity 1)
Ho (0.3333, 0.6667, 0.0000) (multiplicity 2)
Er (0.0000, 0.5000, 0.0000) (multiplicity 3)
Er (0.1797, 0.3593, 0.5000) (multiplicity 6)


DFT (PBE) results for crystalline KY3Cu at its relaxed geometry.

Properties
ΔH_f (0 K): 1510 meV/atom
VASP energy: -3.407 eV/atom

a = 5.336 Å, b = 5.336 Å, c = 5.336 Å
α = 90.00°, β = 90.00°, γ = 90.00°
Space group Pm-3m (No. 221)
Unique sites:
K (0.000, 0.000, 0.000) (multiplicity 1)
Y (0.000, 0.000, 0.500) (multiplicity 3)
Cu (0.500, 0.500, 0.500) (multiplicity 1)